Entry P
# PBE Pb3C, relaxed
# DOS(E_F)	2.18	states/eV/cell
# size of the total moment	0.0	μB/f.u.
data_Pb3C
_chemical_formula_sum 'Pb3 C1'
_symmetry_space_group_name_H-M 'P -6 m 2'
_symmetry_Int_Tables_number 187
_symmetry_space_group_name_Hall 'P -6 2'
_cell_length_a 3.5791
_cell_length_b 3.5791
_cell_length_c 9.1518
_cell_angle_alpha 90.00
_cell_angle_beta 90.00
_cell_angle_gamma 120.00
loop_
_atom_site_label
_atom_site_fract_x
_atom_site_fract_y
_atom_site_fract_z
Pb1 0.0000 0.0000 0.0000
Pb2 0.6667 0.3333 0.3336
C1 0.0000 0.0000 0.5000

Entry Q
# PBE Pb3C, relaxed
# DOS(E_F)	5.04	states/eV/cell
# size of the total moment	0.0	μB/f.u.
data_Pb3C
_chemical_formula_sum 'Pb9 C3'
_symmetry_space_group_name_H-M 'R -3 m'
_symmetry_Int_Tables_number 166
_symmetry_space_group_name_Hall '-R 3 2"'
_cell_length_a 3.6159
_cell_length_b 3.6159
_cell_length_c 26.9260
_cell_angle_alpha 90.00
_cell_angle_beta 90.00
_cell_angle_gamma 120.00
loop_
_atom_site_label
_atom_site_fract_x
_atom_site_fract_y
_atom_site_fract_z
Pb1 0.0000 0.0000 0.0000
Pb2 0.0000 0.0000 0.2192
C1 0.0000 0.0000 0.5000

Which is the most stable structure? entry Q is the most stable.

Entry P
# PBE Pb4C, relaxed
# DOS(E_F)	4.08	states/eV/cell
# size of the total moment	0.0	μB/f.u.
data_Pb4C
_chemical_formula_sum 'Pb4 C1'
_symmetry_space_group_name_H-M 'P m -3 m'
_symmetry_Int_Tables_number 221
_symmetry_space_group_name_Hall '-P 4 2 3'
_cell_length_a 5.1402
_cell_length_b 5.1402
_cell_length_c 5.1402
_cell_angle_alpha 90.00
_cell_angle_beta 90.00
_cell_angle_gamma 90.00
loop_
_atom_site_label
_atom_site_fract_x
_atom_site_fract_y
_atom_site_fract_z
Pb1 0.0000 0.0000 0.0000
Pb2 0.0000 0.5000 0.5000
C1 0.5000 0.5000 0.5000

Entry Q
# PBE Pb4C, relaxed
# DOS(E_F)	6.31	states/eV/cell
# size of the total moment	1.8	μB/f.u.
data_Pb4C
_chemical_formula_sum 'Pb8 C2'
_symmetry_space_group_name_H-M 'I 4/m m m'
_symmetry_Int_Tables_number 139
_symmetry_space_group_name_Hall '-I 4 2'
_cell_length_a 4.3342
_cell_length_b 4.3342
_cell_length_c 16.7733
_cell_angle_alpha 90.00
_cell_angle_beta 90.00
_cell_angle_gamma 90.00
loop_
_atom_site_label
_atom_site_fract_x
_atom_site_fract_y
_atom_site_fract_z
Pb1 0.0000 0.0000 0.0912
Pb2 0.0000 0.5000 0.2500
C1 0.0000 0.0000 0.5000

Entry R
# PBE Pb4C, relaxed
# DOS(E_F)	6.48	states/eV/cell
# size of the total moment	0.0	μB/f.u.
data_Pb4C
_chemical_formula_sum 'Pb8 C2'
_symmetry_space_group_name_H-M 'I m -3 m'
_symmetry_Int_Tables_number 229
_symmetry_space_group_name_Hall '-I 4 2 3'
_cell_length_a 6.5546
_cell_length_b 6.5546
_cell_length_c 6.5546
_cell_angle_alpha 90.00
_cell_angle_beta 90.00
_cell_angle_gamma 90.00
loop_
_atom_site_label
_atom_site_fract_x
_atom_site_fract_y
_atom_site_fract_z
Pb1 0.2500 0.2500 0.2500
C1 0.0000 0.0000 0.0000

Which is the most stable structure? entry P is the most stable.

Entry P
# PBE PbC3, relaxed
# DOS(E_F)	3.71	states/eV/cell
# size of the total moment	0.0	μB/f.u.
data_PbC3
_chemical_formula_sum 'Pb2 C6'
_symmetry_space_group_name_H-M 'I 4/m m m'
_symmetry_Int_Tables_number 139
_symmetry_space_group_name_Hall '-I 4 2'
_cell_length_a 4.0865
_cell_length_b 4.0865
_cell_length_c 5.9117
_cell_angle_alpha 90.00
_cell_angle_beta 90.00
_cell_angle_gamma 90.00
loop_
_atom_site_label
_atom_site_fract_x
_atom_site_fract_y
_atom_site_fract_z
Pb1 0.0000 0.0000 0.0000
C1 0.0000 0.0000 0.5000
C2 0.0000 0.5000 0.2500

Entry Q
# PBE PbC3, relaxed
# DOS(E_F)	2.95	states/eV/cell
# size of the total moment	0.0	μB/f.u.
data_PbC3
_chemical_formula_sum 'Pb1 C3'
_symmetry_space_group_name_H-M 'P m -3 m'
_symmetry_Int_Tables_number 221
_symmetry_space_group_name_Hall '-P 4 2 3'
_cell_length_a 3.7042
_cell_length_b 3.7042
_cell_length_c 3.7042
_cell_angle_alpha 90.00
_cell_angle_beta 90.00
_cell_angle_gamma 90.00
loop_
_atom_site_label
_atom_site_fract_x
_atom_site_fract_y
_atom_site_fract_z
Pb1 0.0000 0.0000 0.0000
C1 0.0000 0.5000 0.5000

Entry R
# PBE PbC3, relaxed
# DOS(E_F)	4.97	states/eV/cell
# size of the total moment	0.0	μB/f.u.
data_PbC3
_chemical_formula_sum 'Pb2 C6'
_symmetry_space_group_name_H-M 'C m m m'
_symmetry_Int_Tables_number 65
_symmetry_space_group_name_Hall '-C 2 2'
_cell_length_a 4.7494
_cell_length_b 6.2908
_cell_length_c 3.4481
_cell_angle_alpha 90.00
_cell_angle_beta 90.00
_cell_angle_gamma 90.00
loop_
_atom_site_label
_atom_site_fract_x
_atom_site_fract_y
_atom_site_fract_z
Pb1 0.0000 0.0000 0.0000
C1 0.0000 0.5000 0.0000
C2 0.2500 0.2500 0.5000

Which is the most stable structure? entry P is the most stable.

Entry P
# PBE PbC3, relaxed
# DOS(E_F)	2.42	states/eV/cell
# size of the total moment	0.0	μB/f.u.
data_PbC3
_chemical_formula_sum 'Pb4 C12'
_symmetry_space_group_name_H-M 'C m c m'
_symmetry_Int_Tables_number 63
_symmetry_space_group_name_Hall '-C 2c 2'
_cell_length_a 6.3753
_cell_length_b 15.6485
_cell_length_c 2.6795
_cell_angle_alpha 90.00
_cell_angle_beta 90.00
_cell_angle_gamma 90.00
loop_
_atom_site_label
_atom_site_fract_x
_atom_site_fract_y
_atom_site_fract_z
Pb1 0.0000 0.1398 0.2500
C1 0.0000 0.2917 0.7500
C2 0.1083 0.3441 0.2500

Entry Q
# PBE PbC3, relaxed
# DOS(E_F)	6.09	states/eV/cell
# size of the total moment	0.0	μB/f.u.
data_PbC3
_chemical_formula_sum 'Pb2 C6'
_symmetry_space_group_name_H-M 'I m -3 m'
_symmetry_Int_Tables_number 229
_symmetry_space_group_name_Hall '-I 4 2 3'
_cell_length_a 4.5682
_cell_length_b 4.5682
_cell_length_c 4.5682
_cell_angle_alpha 90.00
_cell_angle_beta 90.00
_cell_angle_gamma 90.00
loop_
_atom_site_label
_atom_site_fract_x
_atom_site_fract_y
_atom_site_fract_z
Pb1 0.0000 0.0000 0.0000
C1 0.0000 0.0000 0.5000

Which is the most stable structure? entry P is the most stable.